(1)
A PBEsol-optimized structure of NaGe2Pd2, computed with SCAN.

Summary:
Its energy is -22.0874 eV/atom. Its space-group type is I4/mmm, No. 139. The value obtained for the density of states at the Fermi level is 1.82 states/eV/cell. Its formation energy is -241 kJ/mol of formula units. For the energy above the most stable polymorph in this dataset, the calculation gives 0.0000 eV/atom.

Lattice parameters (Å, degrees): 5.9089 5.9089 5.9089 138.27 138.27 60.49
Closest atoms and distances in Å follow each position.
Element x y z (fractional)
Na  0.0000  0.0000  0.0000  8 Ge 3.23, 8 Pd 3.31
Ge  0.3782  0.3782  0.0000  4 Pd 2.48, 1 Ge 2.49
Ge  0.6218  0.6218  0.0000  4 Pd 2.48, 1 Ge 2.49
Pd  0.2500  0.7500  0.5000  4 Ge 2.48
Pd  0.7500  0.2500  0.5000  4 Ge 2.48

(2)
A PBEsol-optimized structure of MgNbS2, computed with SCAN.

Summary:
Its energy is -15.1556 eV/atom. Its space-group type is I-42d, No. 122. The formation energy without anion corrections is -816 meV per atom. The value obtained for the density of states at the Fermi level is 4.26 states/eV/cell.

Lattice parameters (Å, degrees): 6.4883 6.4883 6.4883 126.55 126.55 78.99
Closest atoms and distances in Å follow each position.
Element x y z (fractional)
Mg  0.0000  0.0000  0.0000  4 S 2.42
Mg  0.7500  0.2500  0.5000  4 S 2.42
Nb  0.2500  0.7500  0.5000  4 S 2.40
Nb  0.5000  0.5000  0.0000  4 S 2.40
S  0.1279  0.6250  0.0029  2 Nb 2.40, 2 Mg 2.42
S  0.3750  0.3779  0.5029  2 Nb 2.40, 2 Mg 2.42
S  0.6221  0.1250  0.9971  2 Nb 2.40, 2 Mg 2.42
S  0.8750  0.8721  0.4971  2 Nb 2.40, 2 Mg 2.42

(3)
A PBEsol-optimized structure of AlC2S, computed with SCAN.

Summary:
Its energy is -7.0857 eV/atom. Its space-group type is Fm-3m, No. 225. The formation energy without anion corrections is 2309 meV per atom. The value obtained for the density of states at the Fermi level is 1.88 states/eV/cell.

Lattice parameters (Å, degrees): 3.8394 3.8394 3.8394 60.00 60.00 60.00
Closest atoms and distances in Å follow each position.
Element x y z (fractional)
Al  0.0000  0.0000  0.0000  8 C 2.35
C  0.2500  0.2500  0.2500  4 S 2.35, 4 Al 2.35
C  0.7500  0.7500  0.7500  4 S 2.35, 4 Al 2.35
S  0.5000  0.5000  0.5000  8 C 2.35

(4)
A PBEsol-optimized structure of Li2CaTeCl, computed with SCAN.

Summary:
Its energy is -12.6961 eV/atom. Its space-group type is P4/mmm, No. 123. The formation energy without anion corrections is -762 meV per atom. The value obtained for the density of states at the Fermi level is 1.63 states/eV/cell.

Lattice parameters (Å, degrees): 4.7804 4.7804 7.8342 90.00 90.00 90.00
Closest atoms and distances in Å follow each position.
Element x y z (fractional)
Li  0.0000  0.5000  0.0000  2 Te 2.39
Li  0.5000  0.0000  0.0000  2 Te 2.39
Ca  0.0000  0.0000  0.5000  4 Cl 3.38
Te  0.5000  0.5000  0.0000  4 Li 2.39
Cl  0.5000  0.5000  0.5000  4 Ca 3.38

Question: Which of these has the highest energy?
Answer: AlC2S

Question: What is the formula in the first record?
Answer: NaGe2Pd2

Please write out number 2 again, unchanged.
A PBEsol-optimized structure of MgNbS2, computed with SCAN.

Summary:
Its energy is -15.1556 eV/atom. Its space-group type is I-42d, No. 122. The formation energy without anion corrections is -816 meV per atom. The value obtained for the density of states at the Fermi level is 4.26 states/eV/cell.

Lattice parameters (Å, degrees): 6.4883 6.4883 6.4883 126.55 126.55 78.99
Closest atoms and distances in Å follow each position.
Element x y z (fractional)
Mg  0.0000  0.0000  0.0000  4 S 2.42
Mg  0.7500  0.2500  0.5000  4 S 2.42
Nb  0.2500  0.7500  0.5000  4 S 2.40
Nb  0.5000  0.5000  0.0000  4 S 2.40
S  0.1279  0.6250  0.0029  2 Nb 2.40, 2 Mg 2.42
S  0.3750  0.3779  0.5029  2 Nb 2.40, 2 Mg 2.42
S  0.6221  0.1250  0.9971  2 Nb 2.40, 2 Mg 2.42
S  0.8750  0.8721  0.4971  2 Nb 2.40, 2 Mg 2.42

Question: Number 2 is which compound?
Answer: MgNbS2